A geometry-optimized MnMo4Ru structure. Source: Alexandria, functional GGA-PBE.

Lattice parameters (Å, degrees): 5.157 5.157 5.157 60.00 60.00 60.00
Element x y z (fractional)
Mn  0.000  0.000  0.000
Mo  0.879  0.374  0.374
Mo  0.374  0.374  0.879
Mo  0.374  0.374  0.374
Mo  0.374  0.879  0.374
Ru  0.750  0.750  0.750

Computed properties:
The calculation puts the volume at 96.99 Å³ per cell. As for the total DFT energy (no corrections): -9.885 eV/atom. Its symmetry is F-43m, No. 216. As for the energy relative to the elements: 0.410 eV/atom.